Density functional theory data (PBE) for a relaxed structure of KSbPbS3.

Output
The magnetic moment is 0.000 μB/atom. The calculation puts the formation energy (no corrections) at -0.64 eV/atom. Its symmetry is P2_1/m.

```
KSbPbS3
1.0
4.095 0.000 0.000
0.000 10.332 1.971
0.000 -1.814 7.469
K Sb Pb S
2 2 2 6
Cartesian
3.071 5.859 5.581
1.024 2.659 3.859
1.024 6.714 1.747
3.071 1.804 7.693
1.024 -1.253 5.540
3.071 9.771 3.900
1.024 8.065 4.660
3.071 6.587 8.633
3.071 4.741 2.503
3.071 0.453 4.780
1.024 3.777 6.937
1.024 1.932 0.807
```